Entry one
ZrSc2Au: relaxed, PBEsol.

Theoretical density = 7.39 g/cm³

abc: 3.2373 3.2373 28.0905
angles: 90.00 90.00 120.00
Space group R-3m (No. 166, hexagonal axes)
Asymmetric unit:
Zr: 0.0000 0.0000 0.0000 [3 per cell]
Sc: 0.0000 0.0000 0.2435 [6 per cell]
Au: 0.0000 0.0000 0.5000 [3 per cell]

=====

Entry two
ZrSc2Au: relaxed, PBEsol.

Theoretical density = 7.82 g/cm³

abc: 4.346 4.346 4.248
angles: 90.00 90.00 90.00
Space group P4/mmm (No. 123)
Asymmetric unit:
Zr: 0.000 0.000 0.000 [1 per cell]
Sc: 0.000 0.500 0.500 [2 per cell]
Au: 0.500 0.500 0.000 [1 per cell]

=====

Most favorable first, least favorable last: entry two, entry one

=====

Entry one
AuSe4: relaxed, PBEsol.

Theoretical density = 7.31 g/cm³

abc: 6.152 6.152 6.152
angles: 90.00 90.00 90.00
Space group Im-3m (No. 229)
Asymmetric unit:
Au: 0.000 0.000 0.000 [2 per cell]
Se: 0.250 0.250 0.250 [8 per cell]

=====

Entry two
AuSe4: relaxed, PBEsol.

Theoretical density = 6.45 g/cm³

abc: 8.741 8.741 3.455
angles: 90.00 90.00 90.00
Space group I4/m (No. 87)
Asymmetric unit:
Au: 0.000 0.000 0.000 [2 per cell]
Se: 0.155 0.798 0.500 [8 per cell]

=====

Most favorable first, least favorable last: entry two, entry one

=====

Entry one
Te2AuSe: relaxed, PBEsol.

Theoretical density = 7.22 g/cm³

abc: 5.726 5.726 14.904
angles: 90.00 90.00 90.00
Space group I-42d (No. 122)
Asymmetric unit:
Te: 0.237 0.250 0.125 [8 per cell]
Au: 0.000 0.000 0.000 [4 per cell]
Se: 0.000 0.000 0.500 [4 per cell]

=====

Entry two
Te2AuSe: relaxed, PBEsol.

Theoretical density = 8.19 g/cm³

abc: 3.906 3.906 14.120
angles: 90.00 90.00 90.00
Space group I-4m2 (No. 119)
Asymmetric unit:
Te: 0.000 0.000 0.000 [2 per cell]
Te: 0.000 0.500 0.250 [2 per cell]
Au: 0.000 0.000 0.500 [2 per cell]
Se: 0.000 0.500 0.750 [2 per cell]

=====

Entry three
Te2AuSe: relaxed, PBEsol.

Theoretical density = 9.00 g/cm³

abc: 4.0409 4.0409 20.7945
angles: 90.00 90.00 120.00
Space group R3m (No. 160, hexagonal axes)
Asymmetric unit:
Te: 0.0000 0.0000 0.0000 [3 per cell]
Te: 0.0000 0.0000 0.2365 [3 per cell]
Au: 0.0000 0.0000 0.7429 [3 per cell]
Se: 0.0000 0.0000 0.4726 [3 per cell]

=====

Most favorable first, least favorable last: entry three, entry two, entry one

=====

Entry one
Te2AuSe: relaxed, PBEsol.

Theoretical density = 8.84 g/cm³

abc: 3.002 4.074 8.160
angles: 90.00 90.00 90.00
Space group Pmmm (No. 47)
Asymmetric unit:
Te: 0.000 0.000 0.228 [2 per cell]
Au: 0.000 0.500 0.000 [1 per cell]
Se: 0.000 0.500 0.500 [1 per cell]

=====

Entry two
Te2AuSe: relaxed, PBEsol.

Theoretical density = 9.08 g/cm³

abc: 4.100 4.100 11.550
angles: 90.00 90.00 90.00
Space group I4mm (No. 107)
Asymmetric unit:
Te: 0.000 0.000 0.000 [2 per cell]
Te: 0.000 0.000 0.261 [2 per cell]
Au: 0.000 0.000 0.759 [2 per cell]
Se: 0.000 0.000 0.525 [2 per cell]

=====

Most favorable first, least favorable last: entry two, entry one